Li2MgZr | GGA-PBEsol | optimized geometry

It has space group P4/mmm (No. 123), with a = 2.9307 Å, b = 2.9307 Å, c = 9.1216 Å, α = 90.00°, β = 90.00° and γ = 90.00°. The inequivalent atoms are Li at (0.0000, 0.0000, 0.2398), Mg at (0.5000, 0.5000, 0.0000) and Zr at (0.5000, 0.5000, 0.5000).

Its formation energy from the elements is 0.70 eV/f.u.